# 1
{
  "formula": "PmCrRh",
  "functional": "PBE",
  "state": "relaxed",
  "lattice_angstrom": [[-3.291, 1.961, -2.825], [0.189, -0.742, 3.275], [4.091, 9.690, 1.960]],
  "species": ["Rh", "Rh", "Cr", "Cr", "Pm", "Pm"],
  "fractional_positions": [[0.694, 0.388, 0.000], [0.195, 0.390, 0.500], [0.695, 0.389, 0.377], [0.695, 0.389, 0.623], [0.194, 0.388, 0.831], [0.194, 0.388, 0.169]],
  "final_energy_ev_per_cell": -43.02,
  "total_magnetization_mub_per_fu": 3.93
}

=====

# 2
{
  "formula": "PmCrRu2",
  "functional": "PBE",
  "state": "relaxed",
  "lattice_angstrom": [[3.059, 0.000, 0.000], [0.000, 3.059, 0.000], [0.000, 0.000, 7.199]],
  "species": ["Ru", "Ru", "Cr", "Pm"],
  "fractional_positions": [[0.000, 0.000, 0.691], [0.000, 0.000, 0.309], [0.500, 0.500, 0.500], [0.500, 0.500, 0.000]],
  "final_energy_ev_per_cell": -32.37,
  "total_magnetization_mub_per_fu": 0.51
}

=====

# 3
{
  "formula": "PmCrRu",
  "functional": "PBE",
  "state": "relaxed",
  "lattice_angstrom": [[-3.316, 2.534, 2.021], [1.416, -2.894, 0.632], [7.618, 5.070, 6.142]],
  "species": ["Ru", "Ru", "Cr", "Cr", "Pm", "Pm"],
  "fractional_positions": [[0.695, 0.390, 0.000], [0.194, 0.388, 0.500], [0.694, 0.388, 0.378], [0.694, 0.388, 0.622], [0.195, 0.389, 0.836], [0.195, 0.389, 0.164]],
  "final_energy_ev_per_cell": -45.49,
  "total_magnetization_mub_per_fu": 3.44
}

=====

# 4
{
  "formula": "PmCrSbRu",
  "functional": "PBE",
  "state": "relaxed",
  "lattice_angstrom": [[4.793, 0.000, 0.000], [2.396, 4.150, 0.000], [2.396, 1.383, 3.913]],
  "species": ["Sb", "Ru", "Cr", "Pm"],
  "fractional_positions": [[0.000, 0.000, 0.000], [0.750, 0.750, 0.750], [0.250, 0.250, 0.250], [0.500, 0.500, 0.500]],
  "total_magnetization_mub_per_fu": 4.01,
  "e_form_raw_mev_per_atom": -77
}

=====

# 5
{
  "formula": "PmCrS4",
  "functional": "PBE",
  "state": "relaxed",
  "lattice_angstrom": [[5.873, 0.044, 0.000], [-1.453, 6.923, 0.000], [-2.210, -3.483, 5.803]],
  "species": ["Pm", "Pm", "Cr", "Cr", "S", "S", "S", "S", "S", "S", "S", "S"],
  "fractional_positions": [[0.382, 0.632, 0.264], [0.618, 0.368, 0.736], [0.246, 0.996, 0.993], [0.754, 0.004, 0.007], [0.011, 0.210, 0.875], [0.812, 0.744, 0.689], [0.363, 0.664, 0.875], [0.377, 0.945, 0.689], [0.623, 0.055, 0.311], [0.637, 0.336, 0.125], [0.188, 0.256, 0.311], [0.989, 0.790, 0.125]],
  "total_magnetization_mub_per_fu": 0.84,
  "e_form_raw_mev_per_atom": -802
}

=====

# 6
{
  "formula": "Pm3CrS6",
  "functional": "PBE",
  "state": "relaxed",
  "lattice_angstrom": [[6.549, 0.000, -0.184], [0.000, 7.144, 0.000], [-0.187, 0.000, 9.695]],
  "species": ["Pm", "Pm", "Pm", "Pm", "Pm", "Pm", "Cr", "Cr", "S", "S", "S", "S", "S", "S", "S", "S", "S", "S", "S", "S"],
  "fractional_positions": [[0.541, 0.902, 0.743], [0.500, 0.500, 0.000], [0.459, 0.098, 0.257], [0.041, 0.598, 0.243], [0.000, 0.000, 0.500], [0.959, 0.402, 0.757], [0.500, 0.500, 0.500], [0.000, 0.000, 0.000], [0.698, 0.173, 0.933], [0.661, 0.202, 0.567], [0.639, 0.457, 0.272], [0.361, 0.543, 0.728], [0.339, 0.798, 0.433], [0.302, 0.827, 0.067], [0.198, 0.327, 0.433], [0.161, 0.298, 0.067], [0.139, 0.043, 0.772], [0.861, 0.957, 0.228], [0.839, 0.702, 0.933], [0.802, 0.673, 0.567]],
  "total_magnetization_mub_per_fu": 3.00,
  "e_form_raw_mev_per_atom": -1665
}

=====

# 7
{
  "formula": "PmCr2S4",
  "functional": "PBE",
  "state": "relaxed",
  "lattice_angstrom": [[6.795, 0.267, -2.101], [-3.626, 5.753, -2.101], [-0.143, -0.272, 7.112]],
  "species": ["Pm", "Pm", "Cr", "Cr", "Cr", "Cr", "S", "S", "S", "S", "S", "S", "S", "S"],
  "fractional_positions": [[0.250, 0.750, 0.500], [0.000, 0.000, 0.000], [0.625, 0.875, 0.250], [0.625, 0.375, 0.750], [0.125, 0.375, 0.750], [0.625, 0.375, 0.250], [0.916, 0.596, 0.680], [0.334, 0.154, 0.820], [0.916, 0.236, 0.320], [0.404, 0.084, 0.321], [0.764, 0.084, 0.679], [0.334, 0.514, 0.180], [0.846, 0.666, 0.180], [0.486, 0.666, 0.820]],
  "total_magnetization_mub_per_fu": 6.99,
  "e_form_raw_mev_per_atom": -1024
}

=====

# 8
{
  "formula": "Pm2ScCrS6",
  "functional": "PBE",
  "state": "relaxed",
  "lattice_angstrom": [[-5.207, 3.036, 2.059], [-2.132, -5.845, 3.225], [4.724, 2.510, 7.671]],
  "species": ["Pm", "Pm", "Pm", "Pm", "Sc", "Sc", "Cr", "Cr", "S", "S", "S", "S", "S", "S", "S", "S", "S", "S", "S", "S"],
  "fractional_positions": [[0.039, 0.900, 0.247], [0.539, 0.600, 0.747], [0.961, 0.100, 0.753], [0.461, 0.400, 0.253], [0.500, 0.000, 0.000], [0.000, 0.500, 0.500], [0.500, 0.000, 0.500], [0.000, 0.500, 0.000], [0.314, 0.682, 0.057], [0.814, 0.818, 0.557], [0.686, 0.318, 0.943], [0.186, 0.182, 0.443], [0.329, 0.695, 0.443], [0.829, 0.805, 0.943], [0.671, 0.305, 0.557], [0.171, 0.195, 0.057], [0.879, 0.528, 0.241], [0.379, 0.972, 0.741], [0.121, 0.472, 0.759], [0.621, 0.028, 0.259]],
  "total_magnetization_mub_per_fu": 3.00,
  "e_form_raw_mev_per_atom": -1686
}